[1]
Crystalline ZrCdSCl2 at its relaxed geometry, computed with PBE-GGA.

Cell lengths 5.141, 5.141, 4.978 Å; angles 90.00, 90.00, 90.00 degrees
Sites, in units of the cell vectors:
Cl  0.500  0.000  0.000
Cl  0.000  0.500  0.000
S  0.000  0.000  0.500
Cd  0.500  0.500  0.500
Zr  0.000  0.000  0.000

Calculated values
The energy above the most stable polymorph in this dataset comes out at 0.00 kJ per mole of atoms. As for the spin magnetization: 0.0 Bohr magnetons per cell. For the energy, the calculation gives -22.152 eV/cell.

[2]
Crystalline DyTmCoRh at its relaxed geometry, computed with PBE-GGA.

Cell lengths 4.755, 4.755, 4.755 Å; angles 60.00, 60.00, 60.00 degrees
Site moments in Bohr magnetons follow the coordinates.
Sites, in units of the cell vectors:
Dy  0.250  0.250  0.250  -0.11
Tm  0.750  0.750  0.750  -0.11
Rh  0.000  0.000  0.000  0.13
Co  0.500  0.500  0.500  0.61

Calculated values
The energy above the most stable polymorph in this dataset comes out at 1.73 kJ per mole of atoms. As for the spin magnetization: 0.5 Bohr magnetons per cell. For the energy, the calculation gives -25.672 eV/cell. The formation energy is -207 kJ/mol of formula units.

[3]
Crystalline Na3Tl2Ag4 at its relaxed geometry, computed with PBE-GGA.

Cell lengths 4.962, 6.061, 8.115 Å; angles 98.43, 90.00, 114.16 degrees
Sites, in units of the cell vectors:
Ag  0.116  0.233  0.595
Ag  0.734  0.467  0.077
Ag  0.266  0.533  0.923
Ag  0.884  0.767  0.405
Na  0.449  0.899  0.676
Na  0.551  0.101  0.324
Na  0.000  0.000  0.000
Tl  0.244  0.489  0.291
Tl  0.756  0.511  0.709

Calculated values
As for the spin magnetization: 0.0 Bohr magnetons per cell. For the energy, the calculation gives -20.204 eV/cell. The formation energy is -11 kJ/mol of formula units.

[4]
Crystalline KGa3Se4O12 at its relaxed geometry, computed with PBE-GGA.

Cell lengths 6.693, 6.693, 6.693 Å; angles 104.52, 104.52, 104.52 degrees
Sites, in units of the cell vectors:
O  0.605  0.706  0.933
O  0.934  0.500  0.066
O  0.500  0.306  0.694
O  0.066  0.934  0.500
O  0.500  0.066  0.934
O  0.294  0.395  0.067
O  0.306  0.694  0.500
O  0.395  0.067  0.294
O  0.694  0.500  0.306
O  0.706  0.933  0.605
O  0.067  0.294  0.395
O  0.933  0.605  0.706
Se  0.097  0.500  0.903
Se  0.500  0.903  0.097
Se  0.903  0.097  0.500
Se  0.500  0.500  0.500
Ga  0.566  0.434  0.000
Ga  0.434  0.000  0.566
Ga  0.000  0.566  0.434
K  0.000  0.000  0.000

Calculated values
As for the spin magnetization: 0.0 Bohr magnetons per cell. For the energy, the calculation gives -101.981 eV/cell.

[5]
Crystalline LiAcGdRu at its relaxed geometry, computed with PBE-GGA.

Cell lengths 5.154, 5.154, 5.154 Å; angles 60.00, 60.00, 60.00 degrees
Site moments in Bohr magnetons follow the coordinates.
Sites, in units of the cell vectors:
Ac  0.000  0.000  0.000  0.00
Li  0.250  0.250  0.250  0.00
Gd  0.500  0.500  0.500  7.04
Ru  0.750  0.750  0.750  -0.19

Calculated values
As for the spin magnetization: 7.0 Bohr magnetons per cell. For the energy, the calculation gives -29.782 eV/cell. The formation energy is -39 kJ/mol of formula units.

[6]
Crystalline BeCo2As at its relaxed geometry, computed with PBE-GGA.

Cell lengths 3.991, 3.991, 3.991 Å; angles 60.00, 60.00, 60.00 degrees
Site moments in Bohr magnetons follow the coordinates.
Sites, in units of the cell vectors:
Be  0.250  0.250  0.250  -0.03
As  0.500  0.500  0.500  0.00
Co  0.000  0.000  0.000  1.02
Co  0.750  0.750  0.750  1.04

Calculated values
The energy above the most stable polymorph in this dataset comes out at 34.10 kJ per mole of atoms. As for the spin magnetization: 2.0 Bohr magnetons per cell. For the energy, the calculation gives -21.900 eV/cell. The formation energy is 66 kJ/mol of formula units.